Material: TlPtRh
Method: DFT, PBE-GGA
State: optimized geometry

abc: 4.663 8.074 5.564
angles: 90.00 90.00 90.00
Space group Cmcm (No. 63)
Unique sites:
Tl1 0.000 0.166 0.250
Pt1 0.000 0.500 0.000
Rh1 0.000 0.168 0.750

## Properties
**Polymorph energy (0 for the lowest one)**: 0 meV per atom
**Spin magnetization**: 0.00 μB/f.u.
**Formation enthalpy at 0 K**: 97 meV/atom
**Electronic total energy**: -61.88 eV for the cell shown